Compound: PuSc2TlO8
Source: the Alexandria database
Functional: PBE-GGA
Structure: optimized geometry

Properties
**Total magnetization**: 1.00 Bohr magnetons per cell
**E**: -97.946 eV for the cell shown
**Formation energy from raw total energies**: -232.52 kJ per mole of atoms
**Crystal system**: monoclinic

Structure (POSCAR):
```
PuSc2TlO8
1.0
-1.401 -4.387 1.620
-0.485 -1.350 -4.665
6.456 -2.087 -0.068
O Sc Pu Tl
8 2 1 1
Direct
0.801 0.201 0.785
0.801 0.201 0.215
0.688 0.689 0.500
0.199 0.799 0.785
0.312 0.311 0.500
0.199 0.799 0.215
0.702 0.704 0.000
0.298 0.296 0.000
0.500 0.500 0.743
0.500 0.500 0.257
0.000 0.000 0.000
0.000 0.000 0.500
```